Density functional theory data (GGA-PBE) for an optimized crystal structure of SrSiCl6.

Calculated values
The calculation puts the uncorrected formation energy at -1.50 eV/atom.

Geometry as CIF:
```
data_SrSiCl6
_chemical_formula_sum 'Sr2 Si2 Cl12'
_space_group_name_H-M_alt 'C 1 2/m 1'
_space_group_IT_number 12
_cell_length_a 7.9806
_cell_length_b 11.4386
_cell_length_c 6.6791
_cell_angle_alpha 90.00
_cell_angle_beta 122.30
_cell_angle_gamma 90.00
loop_
_space_group_symop_operation_xyz
'x,y,z'
'-x,-y,-z'
'-x,y,-z'
'x,-y,z'
'x+1/2,y+1/2,z'
'-x+1/2,-y+1/2,-z'
'-x+1/2,y+1/2,-z'
'x+1/2,-y+1/2,z'
loop_
_atom_site_label
_atom_site_type_symbol
_atom_site_fract_x
_atom_site_fract_y
_atom_site_fract_z
Sr1 Sr 0.0000 0.0000 0.0000
Si1 Si 0.0000 0.5000 0.5000
Cl1 Cl 0.1349 0.3612 0.7802
Cl2 Cl 0.2279 0.0000 0.5200
```

Density functional theory data (GGA-PBE) for an optimized crystal structure of Cu4Hg3.

Calculated values
Its formation energy is 0.500 eV per atom. The excess energy over the best structure of this formula in the dataset is 2.37 eV per formula unit.

Geometry as CIF:
```
data_Cu4Hg3
_chemical_formula_sum 'Cu4 Hg3'
_space_group_name_H-M_alt 'P 6/m m m'
_space_group_IT_number 191
_space_group_name_Hall '-P 6 2'
_cell_length_a 5.5993
_cell_length_b 5.5993
_cell_length_c 4.6970
_cell_angle_alpha 90.00
_cell_angle_beta 90.00
_cell_angle_gamma 120.00
loop_
_atom_site_label
_atom_site_type_symbol
_atom_site_fract_x
_atom_site_fract_y
_atom_site_fract_z
Cu1 Cu 0.0000 0.0000 0.2480
Cu2 Cu 0.3333 0.6667 0.0000
Hg1 Hg 0.0000 0.5000 0.5000
```

Density functional theory data (GGA-PBE) for an optimized crystal structure of HfOsRh2.

Calculated values
Its formation energy is -0.102 eV per atom. The excess energy over the best structure of this formula in the dataset is 1.57 eV per formula unit.

Geometry as CIF:
```
data_HfOsRh2
_chemical_formula_sum 'Hf4 Os4 Rh8'
_space_group_name_H-M_alt 'F m -3 m'
_space_group_IT_number 225
_space_group_name_Hall '-F 4 2 3'
_cell_length_a 6.3509
_cell_length_b 6.3509
_cell_length_c 6.3509
_cell_angle_alpha 90.00
_cell_angle_beta 90.00
_cell_angle_gamma 90.00
loop_
_atom_site_label
_atom_site_type_symbol
_atom_site_fract_x
_atom_site_fract_y
_atom_site_fract_z
Hf1 Hf 0.0000 0.0000 0.0000
Os1 Os 0.0000 0.0000 0.5000
Rh1 Rh 0.2500 0.2500 0.2500
```